(1)
Entry from the Alexandria database: a crystal of Na8TiO6 relaxed with PBEsol (meta-GGA SCAN).

The structure in POSCAR format:
```
Na8TiO6
1.0
-1.1366 -0.6428 -6.2869
9.4317 0.3937 -1.7455
0.7936 -13.5200 1.2389
Na O Ti
32 24 4
direct
0.0046 0.1701 0.1136
0.2586 0.5367 0.5425
0.5254 0.8289 0.5698
0.8636 0.0346 0.2785
0.4886 0.2587 0.9936
0.9270 0.2206 0.7231
0.0114 0.2587 0.4936
0.5859 0.8200 0.2143
0.2414 0.5367 0.0425
0.8604 0.4935 0.3867
0.5046 0.6701 0.3864
0.0859 0.3200 0.2857
0.7414 0.0367 0.4575
0.3636 0.5346 0.2215
0.3604 0.9935 0.1133
0.4141 0.3200 0.7857
0.0254 0.3289 0.9302
0.5114 0.7587 0.0064
0.4954 0.1701 0.6136
0.9746 0.8289 0.0698
0.0730 0.7206 0.2769
0.9886 0.7587 0.5064
0.1364 0.5346 0.7215
0.1396 0.9935 0.6133
0.7586 0.0367 0.9575
0.6396 0.4935 0.8867
0.4270 0.7206 0.7769
0.9954 0.6701 0.8864
0.9141 0.8200 0.7143
0.4746 0.3289 0.4302
0.5730 0.2206 0.2231
0.6364 0.0346 0.7785
0.4525 0.9059 0.8855
0.6994 0.6241 0.5193
0.0475 0.9059 0.3855
0.9873 0.9025 0.8697
0.7698 0.0082 0.6240
0.9525 0.4059 0.6145
0.7821 0.2479 0.3649
0.2821 0.7479 0.1351
0.2529 0.1116 0.7559
0.4873 0.4025 0.6303
0.2698 0.5082 0.8760
0.5475 0.4059 0.1145
0.7471 0.6116 0.2441
0.1994 0.1241 0.9807
0.3006 0.1241 0.4807
0.7302 0.0082 0.1240
0.7529 0.6116 0.7441
0.8006 0.6241 0.0193
0.7179 0.2479 0.8649
0.2302 0.5082 0.3760
0.2471 0.1116 0.2559
0.2179 0.7479 0.6351
0.5127 0.9025 0.3697
0.0127 0.4025 0.1303
0.7809 0.5115 0.1285
0.2809 0.0115 0.3715
0.2191 0.0115 0.8715
0.7191 0.5115 0.6285
```

Results
Its mass density is 2.597 Mg/m³. Its space-group type is Pna2_1 (33). Its energy is -0.28306 Ha/atom.

---

(2)
Entry from the Alexandria database: a crystal of ZnCu relaxed with PBEsol (meta-GGA SCAN).

The structure in POSCAR format:
```
ZnCu
1.0
2.6258 0.0000 0.0000
-1.3129 4.6976 -0.0311
0.0000 -1.7010 6.0065
Zn Cu
3 3
direct
0.7258 0.4517 0.9439
0.6707 0.3415 0.3345
0.0459 0.0917 0.6085
0.0023 0.0047 0.0024
0.3905 0.7809 0.2740
0.3314 0.6628 0.6700
```

Results
The calculation puts the energy of formation at -0.078 eV per atom. Its mass density is 8.687 Mg/m³. Its space-group type is Cm (8).